# 1
# PBE LaSnBi2O6, relaxed
# - SG: No. 146
# - Energy relative to the elements, uncorrected: -1.719 eV per atom
# - DFT total energy: -0.2338 Ha/atom
data_LaSnBi2O6
_chemical_formula_sum 'La1 Sn1 Bi2 O6'
_cell_length_a 6.094
_cell_length_b 6.094
_cell_length_c 6.094
_cell_angle_alpha 61.35
_cell_angle_beta 61.35
_cell_angle_gamma 61.35
_space_group_name_H-M_alt 'P 1'
_space_group_IT_number 1
loop_
_space_group_symop_operation_xyz
'x,y,z'
loop_
_atom_site_label
_atom_site_fract_x
_atom_site_fract_y
_atom_site_fract_z
La1 0.000 0.000 0.000
Sn1 0.510 0.510 0.510
Bi1 0.228 0.228 0.228
Bi2 0.728 0.728 0.728
O1 0.140 0.393 0.842
O2 0.347 0.866 0.637
O3 0.393 0.842 0.140
O4 0.637 0.347 0.866
O5 0.842 0.140 0.393
O6 0.866 0.637 0.347

=====

# 2
# PBE NaTcAgBr6, relaxed
# - SG: No. 163
# - Energy relative to the elements, uncorrected: -0.604 eV per atom
# - DFT total energy: -0.1225 Ha/atom
data_NaTcAgBr6
_chemical_formula_sum 'Na2 Tc2 Ag2 Br12'
_cell_length_a 7.043
_cell_length_b 7.043
_cell_length_c 12.157
_cell_angle_alpha 90.00
_cell_angle_beta 90.00
_cell_angle_gamma 120.00
_space_group_name_H-M_alt 'P 1'
_space_group_IT_number 1
loop_
_space_group_symop_operation_xyz
'x,y,z'
loop_
_atom_site_label
_atom_site_fract_x
_atom_site_fract_y
_atom_site_fract_z
Na1 0.333 0.667 0.250
Na2 0.667 0.333 0.750
Tc1 0.333 0.667 0.750
Tc2 0.667 0.333 0.250
Ag1 0.000 0.000 0.000
Ag2 0.000 0.000 0.500
Br1 0.042 0.371 0.628
Br2 0.042 0.671 0.872
Br3 0.329 0.371 0.872
Br4 0.329 0.958 0.628
Br5 0.371 0.042 0.128
Br6 0.371 0.329 0.372
Br7 0.629 0.671 0.628
Br8 0.629 0.958 0.872
Br9 0.671 0.042 0.372
Br10 0.671 0.629 0.128
Br11 0.958 0.329 0.128
Br12 0.958 0.629 0.372

=====

# 3
# PBE PmSm2Tm9, relaxed
# - Energy above the lowest structure with this stoichiometry: 0.000 eV per atom
# - SG: No. 123
# - Energy relative to the elements: 27 meV per atom
# - DFT total energy: -0.1657 Ha/atom
data_PmSm2Tm9
_chemical_formula_sum 'Pm1 Sm2 Tm9'
_cell_length_a 4.983
_cell_length_b 4.983
_cell_length_c 14.952
_cell_angle_alpha 90.00
_cell_angle_beta 90.00
_cell_angle_gamma 90.00
_space_group_name_H-M_alt 'P 1'
_space_group_IT_number 1
loop_
_space_group_symop_operation_xyz
'x,y,z'
loop_
_atom_site_label
_atom_site_fract_x
_atom_site_fract_y
_atom_site_fract_z
Pm1 0.000 0.000 0.000
Sm1 0.000 0.000 0.333
Sm2 0.000 0.000 0.667
Tm1 0.000 0.500 0.167
Tm2 0.000 0.500 0.500
Tm3 0.000 0.500 0.833
Tm4 0.500 0.000 0.167
Tm5 0.500 0.000 0.500
Tm6 0.500 0.000 0.833
Tm7 0.500 0.500 0.000
Tm8 0.500 0.500 0.334
Tm9 0.500 0.500 0.666

=====

# 4
# PBE GdScOs4, relaxed
# - SG: No. 216
# - Energy relative to the elements: -252 meV per atom
# - DFT total energy: -0.4094 Ha/atom
data_GdScOs4
_chemical_formula_sum 'Gd1 Sc1 Os4'
_cell_length_a 5.308
_cell_length_b 5.308
_cell_length_c 5.308
_cell_angle_alpha 60.00
_cell_angle_beta 60.00
_cell_angle_gamma 60.00
_space_group_name_H-M_alt 'P 1'
_space_group_IT_number 1
loop_
_space_group_symop_operation_xyz
'x,y,z'
loop_
_atom_site_label
_atom_site_fract_x
_atom_site_fract_y
_atom_site_fract_z
Gd1 0.000 0.000 0.000
Sc1 0.750 0.750 0.750
Os1 0.375 0.375 0.375
Os2 0.375 0.375 0.874
Os3 0.375 0.874 0.375
Os4 0.874 0.375 0.375

=====

# 5
# PBE HoHfTe2, relaxed
# - SG: No. 166
# - Energy relative to the elements, uncorrected: -0.529 eV per atom
# - DFT total energy: -0.2107 Ha/atom
data_HoHfTe2
_chemical_formula_sum 'Ho1 Hf1 Te2'
_cell_length_a 9.979
_cell_length_b 9.979
_cell_length_c 9.979
_cell_angle_alpha 22.45
_cell_angle_beta 22.45
_cell_angle_gamma 22.45
_space_group_name_H-M_alt 'P 1'
_space_group_IT_number 1
loop_
_space_group_symop_operation_xyz
'x,y,z'
loop_
_atom_site_label
_atom_site_fract_x
_atom_site_fract_y
_atom_site_fract_z
Ho1 0.000 0.000 0.000
Hf1 0.500 0.500 0.500
Te1 0.104 0.104 0.104
Te2 0.896 0.896 0.896

=====

# 6
# PBE SiMoPPt2, relaxed
# - SG: No. 123
# - Energy relative to the elements, uncorrected: 0.720 eV per atom
# - DFT total energy: -0.2216 Ha/atom
data_SiMoPPt2
_chemical_formula_sum 'Si1 Mo1 P1 Pt2'
_cell_length_a 4.460
_cell_length_b 4.460
_cell_length_c 4.639
_cell_angle_alpha 90.00
_cell_angle_beta 90.00
_cell_angle_gamma 90.00
_space_group_name_H-M_alt 'P 1'
_space_group_IT_number 1
loop_
_space_group_symop_operation_xyz
'x,y,z'
loop_
_atom_site_label
_atom_site_fract_x
_atom_site_fract_y
_atom_site_fract_z
Si1 0.000 0.000 0.000
Mo1 0.000 0.000 0.500
P1 0.500 0.500 0.500
Pt1 0.000 0.500 0.000
Pt2 0.500 0.000 0.000

=====

# 7
# PBE Ce6Ge5, relaxed
# - SG: No. 12
# - Energy relative to the elements: -540 meV per atom
# - DFT total energy: -0.2159 Ha/atom
data_Ce6Ge5
_chemical_formula_sum 'Ce6 Ge5'
_cell_length_a 7.305
_cell_length_b 7.305
_cell_length_c 7.296
_cell_angle_alpha 99.61
_cell_angle_beta 99.61
_cell_angle_gamma 119.98
_space_group_name_H-M_alt 'P 1'
_space_group_IT_number 1
loop_
_space_group_symop_operation_xyz
'x,y,z'
loop_
_atom_site_label
_atom_site_fract_x
_atom_site_fract_y
_atom_site_fract_z
Ce1 0.081 0.416 0.248
Ce2 0.249 0.249 0.752
Ce3 0.416 0.081 0.248
Ce4 0.584 0.919 0.752
Ce5 0.751 0.751 0.248
Ce6 0.919 0.584 0.752
Ge1 0.000 0.000 0.000
Ge2 0.167 0.833 0.500
Ge3 0.334 0.666 0.000
Ge4 0.666 0.334 0.000
Ge5 0.833 0.167 0.500

=====

# 8
# PBE Y2Th5Sc12, relaxed
# - Energy above the lowest structure with this stoichiometry: 0.305 eV per atom
# - SG: No. 12
# - Energy relative to the elements: 415 meV per atom
# - DFT total energy: -0.2285 Ha/atom
data_Y2Th5Sc12
_chemical_formula_sum 'Y2 Th5 Sc12'
_cell_length_a 10.116
_cell_length_b 10.116
_cell_length_c 10.175
_cell_angle_alpha 112.02
_cell_angle_beta 112.02
_cell_angle_gamma 36.68
_space_group_name_H-M_alt 'P 1'
_space_group_IT_number 1
loop_
_space_group_symop_operation_xyz
'x,y,z'
loop_
_atom_site_label
_atom_site_fract_x
_atom_site_fract_y
_atom_site_fract_z
Y1 0.250 0.750 0.000
Y2 0.750 0.250 0.000
Th1 0.000 0.000 0.500
Th2 0.354 0.354 0.719
Th3 0.385 0.385 0.211
Th4 0.615 0.615 0.789
Th5 0.646 0.646 0.281
Sc1 0.040 0.561 0.920
Sc2 0.057 0.551 0.406
Sc3 0.132 0.132 0.299
Sc4 0.439 0.960 0.080
Sc5 0.449 0.943 0.594
Sc6 0.452 0.452 0.574
Sc7 0.548 0.548 0.426
Sc8 0.551 0.057 0.406
Sc9 0.561 0.040 0.920
Sc10 0.868 0.868 0.701
Sc11 0.943 0.449 0.594
Sc12 0.960 0.439 0.080

=====

# 9
# PBE RbSi2GeI, relaxed
# - SG: No. 123
# - Energy relative to the elements, uncorrected: 0.354 eV per atom
# - DFT total energy: -0.1192 Ha/atom
data_RbSi2GeI
_chemical_formula_sum 'Rb1 Si2 Ge1 I1'
_cell_length_a 4.880
_cell_length_b 4.880
_cell_length_c 7.698
_cell_angle_alpha 90.00
_cell_angle_beta 90.00
_cell_angle_gamma 90.00
_space_group_name_H-M_alt 'P 1'
_space_group_IT_number 1
loop_
_space_group_symop_operation_xyz
'x,y,z'
loop_
_atom_site_label
_atom_site_fract_x
_atom_site_fract_y
_atom_site_fract_z
Rb1 0.000 0.000 0.000
Si1 0.000 0.500 0.500
Si2 0.500 0.000 0.500
Ge1 0.000 0.000 0.500
I1 0.500 0.500 0.000

=====

# 10
# PBE Ac6Ru2PtI3, relaxed
# - SG: No. 12
# - Energy relative to the elements, uncorrected: -0.913 eV per atom
# - DFT total energy: -0.1986 Ha/atom
data_Ac6Ru2PtI3
_chemical_formula_sum 'Ac6 Ru2 Pt1 I3'
_cell_length_a 7.583
_cell_length_b 7.583
_cell_length_c 9.028
_cell_angle_alpha 98.04
_cell_angle_beta 98.04
_cell_angle_gamma 120.00
_space_group_name_H-M_alt 'P 1'
_space_group_IT_number 1
loop_
_space_group_symop_operation_xyz
'x,y,z'
loop_
_atom_site_label
_atom_site_fract_x
_atom_site_fract_y
_atom_site_fract_z
Ac1 0.094 0.438 0.815
Ac2 0.217 0.217 0.185
Ac3 0.438 0.094 0.815
Ac4 0.562 0.906 0.185
Ac5 0.783 0.783 0.815
Ac6 0.906 0.562 0.185
Ru1 0.167 0.833 0.000
Ru2 0.833 0.167 0.000
Pt1 0.500 0.500 0.000
I1 0.000 0.000 0.500
I2 0.332 0.668 0.500
I3 0.668 0.332 0.500

=====

# 11
# PBE LiGdGePb, relaxed
# - SG: No. 216
# - Energy relative to the elements: -337 meV per atom
# - DFT total energy: -0.2358 Ha/atom
data_LiGdGePb
_chemical_formula_sum 'Li1 Gd1 Ge1 Pb1'
_cell_length_a 5.127
_cell_length_b 5.127
_cell_length_c 5.127
_cell_angle_alpha 60.00
_cell_angle_beta 60.00
_cell_angle_gamma 60.00
_space_group_name_H-M_alt 'P 1'
_space_group_IT_number 1
loop_
_space_group_symop_operation_xyz
'x,y,z'
loop_
_atom_site_label
_atom_site_fract_x
_atom_site_fract_y
_atom_site_fract_z
Li1 0.000 0.000 0.000
Gd1 0.500 0.500 0.500
Ge1 0.750 0.750 0.750
Pb1 0.250 0.250 0.250

=====

# 12
# PBE InGa2Cu, relaxed
# - SG: No. 123
# - Energy relative to the elements: 35 meV per atom
# - DFT total energy: -0.1171 Ha/atom
data_InGa2Cu
_chemical_formula_sum 'In1 Ga2 Cu1'
_cell_length_a 3.044
_cell_length_b 3.044
_cell_length_c 7.996
_cell_angle_alpha 90.00
_cell_angle_beta 90.00
_cell_angle_gamma 90.00
_space_group_name_H-M_alt 'P 1'
_space_group_IT_number 1
loop_
_space_group_symop_operation_xyz
'x,y,z'
loop_
_atom_site_label
_atom_site_fract_x
_atom_site_fract_y
_atom_site_fract_z
In1 0.000 0.000 0.000
Ga1 0.500 0.500 0.302
Ga2 0.500 0.500 0.698
Cu1 0.000 0.000 0.500

=====

no.,M_tot (μB per formula unit)
1,1.04
2,2.99
3,0.00
4,6.56
5,0.00
6,1.03
7,3.68
8,0.00
9,0.07
10,0.00
11,6.83
12,0.00